VASP calculation (PBE with a Hubbard U) on a relaxed CrPbF crystal.

a = 5.5570 Å, b = 3.5227 Å, c = 7.3560 Å
α = 90.00°, β = 107.12°, γ = 90.00°
Last column: nearest neighbours and their distance in Å.
Space group Cm (No. 8)
Unique sites:
Cr  0.0000  0.0000  0.0000  3 F 2.05-2.27
Pb  0.1705  0.0000  0.6280  3 Cr 3.15-3.32, 6 Pb 3.29-3.52
F  0.3764  0.0000  0.1464  3 Cr 2.05-2.27

Summary:
Its calculated total energy is -5.19 eV/atom. Its density of states at the Fermi level is 0.5334 states/eV/atom. Its energy above the most stable polymorph in this dataset is 0.082 eV/atom.